[1]
Computed, not measured: crystalline B7C5 at its relaxed geometry at the PBE level of DFT.

As for the energy relative to the elements: 509 meV per atom. Its magnetization is 0.000 Bohr magnetons per cell. As for the crystal system: trigonal. As for the total energy: -7.23 eV per atom.

The structure belongs to space group P3m1 (No. 156); the cell edges are 2.6320, 2.6320 and 14.7219 Å and the angles 90.00°, 90.00° and 120.00°. The distinct sites, in fractional coordinates, are B at (0.0000, 0.0000, 0.0000), B at (0.0000, 0.0000, 0.1153), B at (0.0000, 0.0000, 0.4586), B at (0.3333, 0.6667, 0.1883), B at (0.3333, 0.6667, 0.6603), B at (0.3333, 0.6667, 0.7792), B at (0.6667, 0.3333, 0.8487), C at (0.0000, 0.0000, 0.6581), C at (0.3333, 0.6667, 0.2959), C at (0.6667, 0.3333, 0.3309), C at (0.6667, 0.3333, 0.4421) and C at (0.6667, 0.3333, 0.9522).



[2]
Computed, not measured: crystalline B7C5 at its relaxed geometry at the PBE level of DFT.

As for the energy relative to the elements: 424 meV per atom. Its magnetization is 0.000 Bohr magnetons per cell. As for the crystal system: monoclinic. As for the total energy: -7.31 eV per atom.

The structure belongs to space group Pm (No. 6); the cell edges are 4.8660, 2.6183 and 7.9528 Å and the angles 90.00°, 103.57° and 90.00°. The distinct sites, in fractional coordinates, are B at (0.0000, 0.0000, 0.0000), B at (0.0019, 0.5000, 0.3246), B at (0.2490, 0.0000, 0.5493), B at (0.4415, 0.5000, 0.9712), B at (0.6635, 0.0000, 0.9804), B at (0.7413, 0.0000, 0.2111), B at (0.7497, 0.5000, 0.5381), C at (0.0724, 0.5000, 0.5363), C at (0.1736, 0.5000, 0.0378), C at (0.2845, 0.5000, 0.2376), C at (0.4602, 0.0000, 0.3017) and C at (0.5565, 0.0000, 0.5063).



[3]
Computed, not measured: crystalline BC at its relaxed geometry at the PBE level of DFT.

As for the energy relative to the elements: 388 meV per atom. Its magnetization is 0.000 Bohr magnetons per cell. As for the crystal system: monoclinic. As for the total energy: -7.56 eV per atom.

The structure belongs to space group Cm (No. 8); the cell edges are 12.9929, 2.5088 and 4.2775 Å and the angles 90.00°, 108.01° and 90.00°. The distinct sites, in fractional coordinates, are B at (0.0000, 0.0000, 0.0000), B at (0.0129, 0.5000, 0.3236), B at (0.2081, 0.5000, 0.4601), B at (0.3148, 0.5000, 0.8749), B at (0.3900, 0.5000, 0.6222), C at (0.1090, 0.0000, 0.8644), C at (0.1135, 0.5000, 0.6612), C at (0.2031, 0.0000, 0.1921), C at (0.3054, 0.0000, 0.1033) and C at (0.4005, 0.0000, 0.4000).